[1]
This record from the Alexandria database describes an optimized crystal structure of Mn5VP3. The functional is PBE-GGA.

As for the space group: Cmcm. The value obtained for the formation enthalpy at 0 K is -2.7 eV/f.u. The calculation puts the total energy at -73.9 eV/f.u.

Lattice parameters (Å, degrees): 6.296 6.296 12.821 90.00 90.00 155.66
Positions (direct):
Mn (0.000, 0.000, 0.000)
Mn (0.000, 0.000, 0.500)
Mn (0.192, 0.808, 0.579)
Mn (0.192, 0.808, 0.921)
Mn (0.468, 0.532, 0.161)
Mn (0.468, 0.532, 0.339)
Mn (0.532, 0.468, 0.661)
Mn (0.532, 0.468, 0.839)
Mn (0.808, 0.192, 0.079)
Mn (0.808, 0.192, 0.421)
V (0.162, 0.838, 0.250)
V (0.838, 0.162, 0.750)
P (0.158, 0.842, 0.750)
P (0.371, 0.629, 0.570)
P (0.371, 0.629, 0.930)
P (0.629, 0.371, 0.070)
P (0.629, 0.371, 0.430)
P (0.842, 0.158, 0.250)

---

[2]
This record from the Alexandria database describes an optimized crystal structure of MnVP2. The functional is PBE-GGA.

The energy above the most stable polymorph in this dataset comes out at 0 meV per atom. As for the space group: Pmc2_1. The value obtained for the formation enthalpy at 0 K is -2.7 eV/f.u. The calculation puts the total energy at -31.8 eV/f.u.

Lattice parameters (Å, degrees): 3.062 6.064 5.330 90.00 90.00 90.00
Positions (direct):
Mn (0.000, 0.062, 0.000)
Mn (0.000, 0.938, 0.500)
V (0.500, 0.452, 0.014)
V (0.500, 0.548, 0.514)
P (0.000, 0.299, 0.326)
P (0.000, 0.701, 0.826)
P (0.500, 0.174, 0.696)
P (0.500, 0.826, 0.196)

---

[3]
This record from the Alexandria database describes an optimized crystal structure of Mn2VP. The functional is PBE-GGA.

The energy above the most stable polymorph in this dataset comes out at 0 meV per atom. As for the space group: Fm-3m. The value obtained for the formation enthalpy at 0 K is -1.8 eV/f.u. The calculation puts the total energy at -34.6 eV/f.u.

Lattice parameters (Å, degrees): 3.946 3.946 3.946 60.00 60.00 60.00
Positions (direct):
Mn (0.250, 0.250, 0.250)
Mn (0.750, 0.750, 0.750)
V (0.000, 0.000, 0.000)
P (0.500, 0.500, 0.500)

---

[4]
This record from the Alexandria database describes an optimized crystal structure of Mn3VP4. The functional is PBE-GGA.

As for the space group: Pm. The value obtained for the formation enthalpy at 0 K is -5.0 eV/f.u. The calculation puts the total energy at -63.2 eV/f.u.

Lattice parameters (Å, degrees): 5.287 3.148 5.932 90.00 90.19 90.00
Positions (direct):
Mn (0.000, 0.000, 0.000)
Mn (0.010, 0.500, 0.609)
Mn (0.501, 0.000, 0.113)
V (0.514, 0.500, 0.497)
P (0.193, 0.500, 0.229)
P (0.313, 0.000, 0.741)
P (0.695, 0.500, 0.877)
P (0.827, 0.000, 0.367)

---

[5]
This record from the Alexandria database describes an optimized crystal structure of MnV4P. The functional is PBE-GGA.

As for the space group: C2/m. The value obtained for the formation enthalpy at 0 K is -0.5 eV/f.u. The calculation puts the total energy at -51.5 eV/f.u.

Lattice parameters (Å, degrees): 3.880 3.880 6.668 106.86 106.86 60.10
Positions (direct):
Mn (0.000, 0.000, 0.000)
V (0.220, 0.220, 0.660)
V (0.375, 0.375, 0.125)
V (0.625, 0.625, 0.875)
V (0.780, 0.780, 0.340)
P (0.500, 0.500, 0.500)

---

[6]
This record from the Alexandria database describes an optimized crystal structure of MnVP2. The functional is PBE-GGA.

The energy above the most stable polymorph in this dataset comes out at 343 meV per atom. As for the space group: Fm-3m. The value obtained for the formation enthalpy at 0 K is -1.3 eV/f.u. The calculation puts the total energy at -30.4 eV/f.u.

Lattice parameters (Å, degrees): 4.071 4.071 4.071 60.00 60.00 60.00
Positions (direct):
Mn (0.000, 0.000, 0.000)
V (0.500, 0.500, 0.500)
P (0.250, 0.250, 0.250)
P (0.750, 0.750, 0.750)

---

[7]
This record from the Alexandria database describes an optimized crystal structure of Mn3VP. The functional is PBE-GGA.

The energy above the most stable polymorph in this dataset comes out at 0 meV per atom. As for the space group: Pm-3m. The value obtained for the formation enthalpy at 0 K is 1.5 eV/f.u. The calculation puts the total energy at -40.5 eV/f.u.

Lattice parameters (Å, degrees): 4.274 4.274 4.274 90.00 90.00 90.00
Positions (direct):
Mn (0.000, 0.000, 0.500)
Mn (0.000, 0.500, 0.000)
Mn (0.500, 0.000, 0.000)
V (0.500, 0.500, 0.500)
P (0.000, 0.000, 0.000)

---

[8]
This record from the Alexandria database describes an optimized crystal structure of MnVP2. The functional is PBE-GGA.

The energy above the most stable polymorph in this dataset comes out at 594 meV per atom. As for the space group: R-3m. The value obtained for the formation enthalpy at 0 K is -0.3 eV/f.u. The calculation puts the total energy at -29.4 eV/f.u.

Lattice parameters (Å, degrees): 8.219 8.219 8.219 19.32 19.32 19.32
Positions (direct):
Mn (0.000, 0.000, 0.000)
V (0.500, 0.500, 0.500)
P (0.401, 0.401, 0.401)
P (0.599, 0.599, 0.599)

---

[9]
This record from the Alexandria database describes an optimized crystal structure of MnV2P. The functional is PBE-GGA.

The energy above the most stable polymorph in this dataset comes out at 446 meV per atom. As for the space group: I-42d. The value obtained for the formation enthalpy at 0 K is 0.4 eV/f.u. The calculation puts the total energy at -32.5 eV/f.u.

Lattice parameters (Å, degrees): 5.293 5.293 5.293 102.79 102.79 123.86
Positions (direct):
Mn (0.000, 0.000, 0.000)
Mn (0.750, 0.250, 0.500)
V (0.145, 0.125, 0.520)
V (0.375, 0.855, 0.980)
V (0.605, 0.625, 0.480)
V (0.875, 0.395, 0.020)
P (0.250, 0.750, 0.500)
P (0.500, 0.500, 0.000)

---

[10]
This record from the Alexandria database describes an optimized crystal structure of MnVP2. The functional is PBE-GGA.

The energy above the most stable polymorph in this dataset comes out at 638 meV per atom. As for the space group: I-42d. The value obtained for the formation enthalpy at 0 K is -0.2 eV/f.u. The calculation puts the total energy at -29.3 eV/f.u.

Lattice parameters (Å, degrees): 6.546 6.546 6.546 131.93 131.93 70.34
Positions (direct):
Mn (0.000, 0.000, 0.000)
Mn (0.750, 0.250, 0.500)
V (0.250, 0.750, 0.500)
V (0.500, 0.500, 0.000)
P (0.120, 0.625, 0.995)
P (0.375, 0.370, 0.495)
P (0.630, 0.125, 0.005)
P (0.875, 0.880, 0.505)

---

[11]
This record from the Alexandria database describes an optimized crystal structure of Mn2PW. The functional is PBE-GGA.

As for the space group: Pmmm. The value obtained for the formation enthalpy at 0 K is 0.0 eV/f.u. The calculation puts the total energy at -36.7 eV/f.u.

Lattice parameters (Å, degrees): 3.290 3.935 3.957 90.00 90.00 90.00
Positions (direct):
Mn (0.000, 0.000, 0.000)
Mn (0.500, 0.500, 0.000)
P (0.000, 0.500, 0.500)
W (0.500, 0.000, 0.500)

---

[12]
This record from the Alexandria database describes an optimized crystal structure of MnPW. The functional is PBE-GGA.

As for the space group: P3m1. The value obtained for the formation enthalpy at 0 K is 0.3 eV/f.u. The calculation puts the total energy at -27.2 eV/f.u.

Lattice parameters (Å, degrees): 2.790 2.790 5.908 90.00 90.00 120.00
Positions (direct):
Mn (0.000, 0.000, 0.000)
P (0.667, 0.333, 0.280)
W (0.333, 0.667, 0.636)

---

Repeat the fourth record exactly.
This record from the Alexandria database describes an optimized crystal structure of Mn3VP4. The functional is PBE-GGA.

As for the space group: Pm. The value obtained for the formation enthalpy at 0 K is -5.0 eV/f.u. The calculation puts the total energy at -63.2 eV/f.u.

Lattice parameters (Å, degrees): 5.287 3.148 5.932 90.00 90.19 90.00
Positions (direct):
Mn (0.000, 0.000, 0.000)
Mn (0.010, 0.500, 0.609)
Mn (0.501, 0.000, 0.113)
V (0.514, 0.500, 0.497)
P (0.193, 0.500, 0.229)
P (0.313, 0.000, 0.741)
P (0.695, 0.500, 0.877)
P (0.827, 0.000, 0.367)

---

> The lowest formation enthalpy at 0 K belongs to which entry?

Mn3VP4

---

> Number 11 is which compound?

Mn2PW

---

Please write out number 10 again, unchanged.
This record from the Alexandria database describes an optimized crystal structure of MnVP2. The functional is PBE-GGA.

The energy above the most stable polymorph in this dataset comes out at 638 meV per atom. As for the space group: I-42d. The value obtained for the formation enthalpy at 0 K is -0.2 eV/f.u. The calculation puts the total energy at -29.3 eV/f.u.

Lattice parameters (Å, degrees): 6.546 6.546 6.546 131.93 131.93 70.34
Positions (direct):
Mn (0.000, 0.000, 0.000)
Mn (0.750, 0.250, 0.500)
V (0.250, 0.750, 0.500)
V (0.500, 0.500, 0.000)
P (0.120, 0.625, 0.995)
P (0.375, 0.370, 0.495)
P (0.630, 0.125, 0.005)
P (0.875, 0.880, 0.505)